1.
A plane-wave DFT calculation with GGA-PBE was carried out for an optimized crystal structure of ZrAsBr2.

```
ZrAsBr2
1.0
0.000 3.480 3.480
3.480 0.000 3.480
3.480 3.480 0.000
Zr As Br
1 1 2
Cartesian
0.000 0.000 0.000
3.480 3.480 3.480
1.740 1.740 1.740
5.219 5.219 5.219
```

Summary:
The formation energy without anion corrections is -0.06 eV/atom. The value obtained for the offset from the most stable computed form is 769 meV per atom. Its size of the total moment is 0.000 μB/atom. The calculation puts the density of states at the Fermi level at 3.1 states/eV per cell.

=====

2.
A plane-wave DFT calculation with GGA-PBE was carried out for an optimized crystal structure of TaCu2Pb.

```
TaCu2Pb
1.0
-2.061 2.061 4.027
2.061 -2.061 4.027
2.061 2.061 -4.027
Ta Cu Pb
1 2 1
Cartesian
0.000 0.000 0.000
2.061 0.000 2.014
0.000 2.061 2.014
0.000 0.000 4.027
```

Summary:
Its size of the total moment is 0.000 μB/atom. For the formation energy, the calculation gives 0.521 eV per atom. The calculation puts the density of states at the Fermi level at 2.2 states/eV per cell.

=====

3.
A plane-wave DFT calculation with GGA-PBE was carried out for an optimized crystal structure of AgTeSI2.

```
AgTeSI2
1.0
5.526 0.000 0.000
0.000 5.526 0.000
0.000 0.000 5.386
Ag Te S I
1 1 1 2
Cartesian
0.000 0.000 0.000
2.763 2.763 0.000
2.763 2.763 2.693
0.000 2.763 2.693
2.763 0.000 2.693
```

Summary:
The formation energy without anion corrections is 0.52 eV/atom. The value obtained for the offset from the most stable computed form is 0 meV per atom. Its size of the total moment is 0.000 μB/atom. The calculation puts the density of states at the Fermi level at 6.1 states/eV per cell.

=====

4.
A plane-wave DFT calculation with GGA-PBE was carried out for an optimized crystal structure of Pa8Re2Tc.

```
Pa8Re2Tc
1.0
8.494 -2.625 0.000
8.494 2.625 0.000
-1.999 0.000 5.632
Pa Re Tc
8 2 1
Cartesian
-0.366 0.000 1.409
3.399 0.000 0.547
4.225 0.000 3.852
6.268 0.000 1.735
8.720 0.000 3.897
10.763 0.000 1.780
11.589 0.000 5.085
15.354 0.000 4.222
1.586 0.000 3.313
13.402 0.000 2.319
8.494 0.000 0.000
```

Summary:
Its size of the total moment is 0.000 μB/atom. For the formation energy, the calculation gives 0.004 eV per atom. The calculation puts the density of states at the Fermi level at 22.1 states/eV per cell.

=====

5.
A plane-wave DFT calculation with GGA-PBE was carried out for an optimized crystal structure of Np2PdO11.

```
Np2PdO11
1.0
-4.143 4.861 5.272
4.143 -4.861 5.272
4.143 4.861 -5.272
Np Pd O
4 2 22
Cartesian
1.251 2.242 0.000
5.395 2.619 0.000
-1.251 2.242 5.272
2.892 2.619 5.272
4.143 0.000 2.636
0.000 4.861 2.636
0.000 0.000 0.000
6.542 -1.424 1.561
4.559 1.298 -1.261
3.196 -3.436 5.272
1.745 -1.424 3.711
4.559 -1.298 4.011
4.559 1.298 1.261
1.745 1.424 1.561
3.196 3.436 0.000
0.415 3.563 1.261
2.399 6.285 -1.561
0.000 0.000 5.272
1.745 -1.424 6.833
3.728 1.298 4.011
0.947 1.425 5.272
2.399 3.438 3.711
-0.415 3.563 4.011
-0.415 6.159 1.261
2.399 6.285 1.561
0.947 8.298 0.000
-0.415 3.563 6.533
-2.399 6.285 3.711
```

Summary:
The formation energy without anion corrections is -1.17 eV/atom. Its size of the total moment is 0.000 μB/atom. The calculation puts the density of states at the Fermi level at 19.0 states/eV per cell.

=====

6.
A plane-wave DFT calculation with GGA-PBE was carried out for an optimized crystal structure of SbTeS2.

```
SbTeS2
1.0
1.803 -12.413 0.000
1.803 12.413 0.000
0.000 0.000 5.149
Sb Te S
2 2 4
Cartesian
1.803 7.569 3.861
1.803 -7.569 1.287
1.803 11.738 1.287
1.803 -11.738 3.861
1.803 7.044 1.287
1.803 3.110 1.287
1.803 -3.110 3.861
1.803 -7.044 3.861
```

Summary:
The formation energy without anion corrections is 0.03 eV/atom. The value obtained for the offset from the most stable computed form is 0 meV per atom. Its size of the total moment is 0.000 μB/atom. The calculation puts the density of states at the Fermi level at 3.5 states/eV per cell.

=====

7.
A plane-wave DFT calculation with GGA-PBE was carried out for an optimized crystal structure of Sr3Pa3VN8.

```
Sr3Pa3VN8
1.0
3.474 2.006 5.980
-3.474 2.006 5.980
0.000 -4.012 5.980
Sr Pa V N
3 3 1 8
Cartesian
-1.737 -1.003 5.980
-1.737 1.003 11.961
0.000 2.006 5.980
-3.474 0.000 8.971
-1.737 1.003 2.990
1.737 1.003 2.990
0.000 0.000 8.971
0.000 0.000 4.244
-1.677 -0.968 10.040
0.000 -1.936 7.901
-1.677 0.968 7.901
1.677 -0.968 10.040
0.000 1.936 10.040
1.677 0.968 7.901
0.000 0.000 13.698
```

Summary:
The formation energy without anion corrections is -1.19 eV/atom. Its size of the total moment is 0.116 μB/atom. The calculation puts the density of states at the Fermi level at 6.4 states/eV per cell.

=====

8.
A plane-wave DFT calculation with GGA-PBE was carried out for an optimized crystal structure of GaCoSe2.

```
GaCoSe2
1.0
3.568 0.000 0.000
-1.779 6.458 0.000
-0.001 -2.272 6.871
Ga Co Se
2 2 4
Cartesian
0.000 0.000 0.000
-0.008 1.545 2.325
-0.001 2.521 0.018
1.782 1.993 5.822
-0.003 2.773 4.521
1.777 -0.193 2.219
1.782 -0.325 5.435
1.783 3.592 1.161
```

Summary:
The formation energy without anion corrections is -0.30 eV/atom. Its size of the total moment is 0.000 μB/atom. The calculation puts the density of states at the Fermi level at 3.2 states/eV per cell.